BiHSCl2, optimized geometry, DFT GGA-PBE; V = 158.3 Å³/cell; offset from the most stable computed form = 0 meV per atom; space group = P4/mmm, No. 123; total energy = -2.7880 eV/atom
1.0
-3.4114 0.0518 -4.2651
-3.9162 -2.2024 3.1056
-1.6424 4.8559 1.3726
H S Bi Cl
1 1 1 2
direct
0.5000 0.5000 0.5000 H
0.0000 0.0000 0.5000 S
0.0000 0.0000 0.0000 Bi
0.0000 0.5000 0.0000 Cl
0.5000 0.0000 0.0000 Cl